An optimized crystal structure of HgHF2. Source: Alexandria via LeMat-Bulk, functional PBEsol. Values from VASP.

Cell and atoms, written as Quantum ESPRESSO input:
```
&SYSTEM
  ibrav = 0, nat = 4, ntyp = 3
/
ATOMIC_SPECIES
H 1.01 H.upf
Hg 200.59 Hg.upf
F 19.00 F.upf
ATOMIC_POSITIONS crystal
H 0.500 0.500 0.500
Hg 0.000 0.000 0.000
F 0.880 0.880 0.359
F 0.120 0.120 0.641
CELL_PARAMETERS angstrom
2.821 0.000 0.000
1.411 2.443 0.000
1.411 0.814 6.348
```

Computed properties:
Uncorrected energy   -2.4268 eV per atom